(1)
# PBE Tc2Mo, relaxed
data_Tc2Mo
_space_group_name_H-M_alt 'P 1'
_space_group_IT_number 1
_cell_length_a 4.203
_cell_length_b 4.203
_cell_length_c 4.203
_cell_angle_alpha 60.00
_cell_angle_beta 60.00
_cell_angle_gamma 60.00
loop_
_space_group_symop_operation_xyz
'x,y,z'
loop_
_atom_site_label
_atom_site_type_symbol
_atom_site_fract_x
_atom_site_fract_y
_atom_site_fract_z
Mo1 Mo 0.000 0.000 0.000
Tc1 Tc 0.250 0.250 0.250
Tc2 Tc 0.750 0.750 0.750
# - SG: No. 225
# - Distance to the lowest polymorph of the same formula: 0.566 eV per atom

(2)
# PBE Er2Mg3Tc, relaxed
data_Er2Mg3Tc
_space_group_name_H-M_alt 'P 1'
_space_group_IT_number 1
_cell_length_a 5.625
_cell_length_b 5.625
_cell_length_c 9.703
_cell_angle_alpha 90.00
_cell_angle_beta 90.00
_cell_angle_gamma 120.00
loop_
_space_group_symop_operation_xyz
'x,y,z'
loop_
_atom_site_label
_atom_site_type_symbol
_atom_site_fract_x
_atom_site_fract_y
_atom_site_fract_z
Er1 Er 0.333 0.667 0.051
Er2 Er 0.333 0.667 0.449
Er3 Er 0.667 0.333 0.551
Er4 Er 0.667 0.333 0.949
Mg1 Mg 0.326 0.163 0.250
Mg2 Mg 0.837 0.163 0.250
Mg3 Mg 0.837 0.674 0.250
Mg4 Mg 0.163 0.326 0.750
Mg5 Mg 0.163 0.837 0.750
Mg6 Mg 0.674 0.837 0.750
Tc1 Tc 0.000 0.000 0.000
Tc2 Tc 0.000 0.000 0.500
# - SG: No. 194
# - Uncorrected energy: -0.2930 Ry per atom

(3)
# PBE BaBeSbIr, relaxed
data_BaBeSbIr
_space_group_name_H-M_alt 'P 1'
_space_group_IT_number 1
_cell_length_a 4.958
_cell_length_b 4.958
_cell_length_c 4.958
_cell_angle_alpha 60.00
_cell_angle_beta 60.00
_cell_angle_gamma 60.00
loop_
_space_group_symop_operation_xyz
'x,y,z'
loop_
_atom_site_label
_atom_site_type_symbol
_atom_site_fract_x
_atom_site_fract_y
_atom_site_fract_z
Ba1 Ba 0.500 0.500 0.500
Be1 Be 0.750 0.750 0.750
Ir1 Ir 0.000 0.000 0.000
Sb1 Sb 0.250 0.250 0.250
# - SG: No. 216
# - Distance to the lowest polymorph of the same formula: 0.000 eV per atom

(4)
# PBE HfBeGeOs, relaxed
data_HfBeGeOs
_space_group_name_H-M_alt 'P 1'
_space_group_IT_number 1
_cell_length_a 4.403
_cell_length_b 4.403
_cell_length_c 4.403
_cell_angle_alpha 60.00
_cell_angle_beta 60.00
_cell_angle_gamma 60.00
loop_
_space_group_symop_operation_xyz
'x,y,z'
loop_
_atom_site_label
_atom_site_type_symbol
_atom_site_fract_x
_atom_site_fract_y
_atom_site_fract_z
Be1 Be 0.750 0.750 0.750
Ge1 Ge 0.500 0.500 0.500
Hf1 Hf 0.250 0.250 0.250
Os1 Os 0.000 0.000 0.000
# - SG: No. 216
# - Distance to the lowest polymorph of the same formula: 0.173 eV per atom

Repeat the fourth record exactly.
# PBE HfBeGeOs, relaxed
data_HfBeGeOs
_space_group_name_H-M_alt 'P 1'
_space_group_IT_number 1
_cell_length_a 4.403
_cell_length_b 4.403
_cell_length_c 4.403
_cell_angle_alpha 60.00
_cell_angle_beta 60.00
_cell_angle_gamma 60.00
loop_
_space_group_symop_operation_xyz
'x,y,z'
loop_
_atom_site_label
_atom_site_type_symbol
_atom_site_fract_x
_atom_site_fract_y
_atom_site_fract_z
Be1 Be 0.750 0.750 0.750
Ge1 Ge 0.500 0.500 0.500
Hf1 Hf 0.250 0.250 0.250
Os1 Os 0.000 0.000 0.000
# - SG: No. 216
# - Distance to the lowest polymorph of the same formula: 0.173 eV per atom